The following is a DFT calculation (PBE) of a relaxed CoHg2Ir crystal.

## Properties
Energy of formation from the pure elements in eV per atom: 0.652
D(E_F) in states/eV per cell: 5.213
SG: F-43m

Cell: 4.5877 4.5877 4.5877 Å, 60.00 60.00 60.00°
With the nearest neighbours (Å) after each atom.
Atoms (fractional coordinates):
Hg: 0.0000 0.0000 0.0000  4 Hg 2.81, 4 Ir 2.81
Hg: 0.2500 0.2500 0.2500  4 Hg 2.81, 4 Co 2.81
Co: 0.5000 0.5000 0.5000  4 Hg 2.81, 4 Ir 2.81
Ir: 0.7500 0.7500 0.7500  4 Hg 2.81, 4 Co 2.81



The following is a DFT calculation (PBE) of a relaxed CoHg2Ir crystal.

## Properties
Energy of formation from the pure elements in eV per atom: 0.591
D(E_F) in states/eV per cell: 8.189
SG: Fm-3m

Cell: 4.5738 4.5738 4.5738 Å, 60.00 60.00 60.00°
With the nearest neighbours (Å) after each atom.
Atoms (fractional coordinates):
Hg: 0.7500 0.7500 0.7500  4 Co 2.80, 4 Ir 2.80
Hg: 0.2500 0.2500 0.2500  4 Ir 2.80, 4 Co 2.80
Co: 0.0000 0.0000 0.0000  8 Hg 2.80
Ir: 0.5000 0.5000 0.5000  8 Hg 2.80



The following is a DFT calculation (PBE) of a relaxed CoHgIr2 crystal.

## Properties
Energy of formation from the pure elements in eV per atom: 0.506
D(E_F) in states/eV per cell: 7.139
SG: I4/mmm

Cell: 4.8878 4.8878 4.8878 Å, 133.11 133.11 68.49°
With the nearest neighbours (Å) after each atom.
Atoms (fractional coordinates):
Ir: 0.5000 0.5000 0.0000  4 Ir 2.75, 4 Hg 2.80, 4 Co 2.80
Ir: 0.0000 0.0000 0.0000  4 Ir 2.75, 4 Co 2.80, 4 Hg 2.80
Hg: 0.7500 0.2500 0.5000  4 Co 2.75, 8 Ir 2.80
Co: 0.2500 0.7500 0.5000  4 Hg 2.75, 8 Ir 2.80



The following is a DFT calculation (PBE) of a relaxed CoHg2Ir crystal.

## Properties
Energy of formation from the pure elements in eV per atom: 0.622
D(E_F) in states/eV per cell: 5.725
SG: Immm

Cell: 5.4097 5.4097 5.4097 Å, 146.93 127.48 63.48°
With the nearest neighbours (Å) after each atom.
Atoms (fractional coordinates):
Ir: 0.7500 0.2500 0.5000  4 Co 2.85, 4 Hg 2.86, 2 Ir 3.08
Hg: 0.0123 0.0123 0.0000  2 Co 2.67, 4 Hg 2.85, 2 Ir 2.86
Hg: 0.4877 0.4877 0.0000  2 Co 2.67, 4 Hg 2.85, 2 Ir 2.86
Co: 0.2500 0.7500 0.5000  4 Hg 2.67, 4 Ir 2.85



The following is a DFT calculation (PBE) of a relaxed Co2HgIr crystal.

## Properties
Energy of formation from the pure elements in eV per atom: 0.404
D(E_F) in states/eV per cell: 6.231
SG: Cmmm

Cell: 4.6114 4.6114 2.7828 Å, 89.96 89.96 106.10°
With the nearest neighbours (Å) after each atom.
Atoms (fractional coordinates):
Ir: 0.0000 0.5000 0.5000  8 Co 2.69, 2 Hg 2.77, 2 Ir 2.78
Co: 0.0000 0.0000 0.0000  4 Hg 2.69, 4 Ir 2.69, 4 Co 2.77-2.78
Co: 0.5000 0.5000 0.0000  4 Ir 2.69, 4 Hg 2.69, 4 Co 2.77-2.78
Hg: 0.5000 0.0000 0.5000  8 Co 2.69, 2 Ir 2.77, 2 Hg 2.78



The following is a DFT calculation (PBE) of a relaxed Co2HgIr crystal.

## Properties
Energy of formation from the pure elements in eV per atom: 0.441
D(E_F) in states/eV per cell: 6.041
SG: P4/mmm

Cell: 3.9268 3.9269 3.7428 Å, 90.00 90.00 90.00°
With the nearest neighbours (Å) after each atom.
Atoms (fractional coordinates):
Hg: 0.5000 0.0000 0.5000  8 Co 2.71, 4 Ir 2.78
Ir: 0.0000 0.5000 0.5000  8 Co 2.71, 4 Hg 2.78
Co: 0.5000 0.5000 0.0000  4 Ir 2.71, 4 Hg 2.71, 4 Co 2.78
Co: 0.0000 0.0000 0.0000  4 Hg 2.71, 4 Ir 2.71, 4 Co 2.78



The following is a DFT calculation (PBE) of a relaxed Co2HgIr crystal.

## Properties
Energy of formation from the pure elements in eV per atom: 0.445
D(E_F) in states/eV per cell: 6.877
SG: P4/mmm

Cell: 4.4906 4.4906 2.8339 Å, 90.00 90.00 90.00°
With the nearest neighbours (Å) after each atom.
Atoms (fractional coordinates):
Co: 0.5000 0.5000 0.0000  4 Ir 2.66, 4 Hg 2.66, 2 Co 2.83
Co: 0.0000 0.0000 0.0000  4 Hg 2.66, 4 Ir 2.66, 2 Co 2.83
Ir: 0.0000 0.5000 0.5000  8 Co 2.66, 2 Ir 2.83
Hg: 0.5000 0.0000 0.5000  8 Co 2.66, 2 Hg 2.83



The following is a DFT calculation (PBE) of a relaxed Co2HgIr2 crystal.

## Properties
Energy of formation from the pure elements in eV per atom: 0.313
D(E_F) in states/eV per cell: 12.301
SG: P4/mbm

Cell: 7.3925 7.3925 2.7309 Å, 90.00 90.00 90.00°
With the nearest neighbours (Å) after each atom.
Atoms (fractional coordinates):
Hg: 0.0000 0.0000 0.0000  2 Hg 2.73, 4 Ir 2.91
Hg: 0.5000 0.5000 0.0000  2 Hg 2.73, 4 Ir 2.91
Co: 0.1657 0.6657 0.5000  6 Ir 2.55-2.58, 2 Co 2.73
Co: 0.6657 0.8343 0.5000  6 Ir 2.55-2.58, 2 Co 2.73
Co: 0.8343 0.3343 0.5000  6 Ir 2.55-2.58, 2 Co 2.73
Co: 0.3343 0.1657 0.5000  6 Ir 2.55-2.58, 2 Co 2.73
Ir: 0.3718 0.8718 0.0000  6 Co 2.55-2.58, 3 Ir 2.68-2.73
Ir: 0.1282 0.3718 0.0000  6 Co 2.55-2.58, 3 Ir 2.68-2.73
Ir: 0.8718 0.6282 0.0000  6 Co 2.55-2.58, 3 Ir 2.68-2.73
Ir: 0.6282 0.1282 0.0000  6 Co 2.55-2.58, 3 Ir 2.68-2.73



The following is a DFT calculation (PBE) of a relaxed KCoHg2Ir crystal.

## Properties
Energy of formation from the pure elements in eV per atom: 0.468
D(E_F) in states/eV per cell: 3.492
SG: P4/mmm

Cell: 5.1155 4.5401 5.1155 Å, 90.00 90.00 90.00°
With the nearest neighbours (Å) after each atom.
Atoms (fractional coordinates):
Co: 0.0000 0.0000 0.0000  2 Ir 2.27
Hg: 0.5000 0.0000 0.0000  2 Co 2.56
Hg: 0.0000 0.0000 0.5000  2 Co 2.56
Ir: 0.0000 0.5000 0.0000  2 Co 2.27
K: 0.5000 0.5000 0.5000  8 Hg 3.42, 4 Ir 3.62



The following is a DFT calculation (PBE) of a relaxed La6CoHg2Ir crystal.

## Properties
Energy of formation from the pure elements in eV per atom: -0.383
D(E_F) in states/eV per cell: 10.450
SG: P-1

Cell: 7.6754 7.6426 7.6259 Å, 119.69 119.08 90.85°
With the nearest neighbours (Å) after each atom.
Atoms (fractional coordinates):
La: 0.1848 0.6939 0.9981  1 Co 2.75, 1 Ir 2.85
La: 0.6507 0.7600 0.9018  1 Co 2.77, 1 Ir 2.84
La: 0.8102 0.8105 0.5093  1 Co 2.74, 1 Ir 2.85
La: 0.8151 0.3070 0.0017  1 Co 2.75, 1 Ir 2.85
La: 0.1894 0.1904 0.4902  1 Co 2.74, 1 Ir 2.85
La: 0.3491 0.2403 0.0974  1 Co 2.77, 1 Ir 2.84
Hg: 0.7694 0.2507 0.5134  5 La 3.20-3.37
Hg: 0.2305 0.7504 0.4866  5 La 3.20-3.37
Ir: 0.4999 0.5004 0.9998  6 La 2.84-2.85
Co: 0.9999 0.0004 0.9998  6 La 2.74-2.77



The following is a DFT calculation (PBE) of a relaxed La2CoHgIr crystal.

## Properties
Energy of formation from the pure elements in eV per atom: 0.843
D(E_F) in states/eV per cell: 7.286
SG: P4/mmm

Cell: 5.7439 4.6157 5.7439 Å, 90.00 90.00 90.00°
With the nearest neighbours (Å) after each atom.
Atoms (fractional coordinates):
Co: 0.0000 0.5000 0.0000  2 Hg 2.31
Ir: 0.5000 0.5000 0.5000  8 La 3.68, 4 Co 4.06
La: 0.0000 0.0000 0.5000  2 Hg 2.87
La: 0.5000 0.0000 0.0000  2 Hg 2.87
Hg: 0.0000 0.0000 0.0000  2 Co 2.31



The following is a DFT calculation (PBE) of a relaxed CoHg2MoIr crystal.

## Properties
Energy of formation from the pure elements in eV per atom: 1.457
D(E_F) in states/eV per cell: 4.469
SG: P4/mmm

Cell: 5.1855 4.7340 5.1855 Å, 90.00 90.00 90.00°
With the nearest neighbours (Å) after each atom.
Atoms (fractional coordinates):
Co: 0.5000 0.5000 0.5000  8 Hg 3.51, 4 Mo 3.67
Hg: 0.5000 0.0000 0.0000  2 Ir 2.59
Hg: 0.0000 0.0000 0.5000  2 Ir 2.59
Ir: 0.0000 0.0000 0.0000  2 Mo 2.37, 4 Hg 2.59
Mo: 0.0000 0.5000 0.0000  2 Ir 2.37